No. 1
Material: Nd3CdGa3
Method: DFT, PBE-GGA
State: relaxed

Symmetry: C2/m, No. 12
DFT total energy (eV per atom): -4.014
DFT formation energy (eV per atom): -0.543
Total magnetization (μB/cell): 1.160

```
data_Nd3CdGa3
_chemical_formula_sum 'Nd6 Cd2 Ga6'
_cell_length_a 6.122
_cell_length_b 6.122
_cell_length_c 14.711
_cell_angle_alpha 108.80
_cell_angle_beta 108.80
_cell_angle_gamma 43.72
_space_group_name_H-M_alt 'P 1'
_space_group_IT_number 1
_space_group_name_Hall 'P 1'
loop_
_atom_site_label
_atom_site_type_symbol
_atom_site_fract_x
_atom_site_fract_y
_atom_site_fract_z
_atom_site_occupancy
Nd1 Nd 0.023 0.023 0.374 1
Nd2 Nd 0.105 0.105 0.923 1
Nd3 Nd 0.237 0.237 0.220 1
Nd4 Nd 0.763 0.763 0.780 1
Nd5 Nd 0.895 0.895 0.077 1
Nd6 Nd 0.977 0.977 0.626 1
Cd1 Cd 0.259 0.259 0.598 1
Cd2 Cd 0.741 0.741 0.402 1
Ga1 Ga 0.381 0.381 0.451 1
Ga2 Ga 0.393 0.393 0.927 1
Ga3 Ga 0.469 0.469 0.773 1
Ga4 Ga 0.531 0.531 0.227 1
Ga5 Ga 0.607 0.607 0.073 1
Ga6 Ga 0.619 0.619 0.549 1
```

---

No. 2
Material: ScIn3Te
Method: DFT, PBE-GGA
State: relaxed

Symmetry: Pm-3m, No. 221
DFT total energy (eV per atom): -2.851
Total magnetization (μB/cell): 0.001
Excess energy over the best structure of this formula in the dataset (eV/atom): 0.258
ΔE_f (raw) (meV/atom): 686

```
data_ScIn3Te
_chemical_formula_sum 'Sc1 In3 Te1'
_cell_length_a 5.729
_cell_length_b 5.729
_cell_length_c 5.729
_cell_angle_alpha 90.00
_cell_angle_beta 90.00
_cell_angle_gamma 90.00
_space_group_name_H-M_alt 'P 1'
_space_group_IT_number 1
_space_group_name_Hall 'P 1'
loop_
_atom_site_label
_atom_site_type_symbol
_atom_site_fract_x
_atom_site_fract_y
_atom_site_fract_z
_atom_site_occupancy
Sc1 Sc 0.000 0.000 0.000 1
In1 In 0.000 0.500 0.500 1
In2 In 0.500 0.000 0.500 1
In3 In 0.500 0.500 0.000 1
Te1 Te 0.500 0.500 0.500 1
```